No. 1
Computed, not measured: an optimized crystal structure of YVPd at the PBE level of DFT.

a = 5.0253 Å, b = 3.5538 Å, c = 9.5463 Å
α = 90.00°, β = 90.00°, γ = 134.99°
Closest atoms and distances in Å follow each position.
Positions (direct):
Y: 0.1944 0.3888 0.1816  5 Pd 3.04-3.05, 4 V 3.25
Y: 0.1944 0.3888 0.8184  5 Pd 3.04-3.05, 4 V 3.25
V: 0.6945 0.3890 0.6028  1 V 1.96
V: 0.6945 0.3890 0.3972  1 V 1.96
Pd: 0.1945 0.3889 0.5000  8 V 2.70
Pd: 0.6944 0.3888 0.0000  8 Y 3.05

Properties
space-group type: P4/mmm, No. 123
calculated formation energy: -0.14 eV/atom



No. 2
Computed, not measured: an optimized crystal structure of SrMo2Pt at the PBE level of DFT.

a = 4.9130 Å, b = 4.9130 Å, c = 6.2761 Å
α = 77.25°, β = 77.25°, γ = 37.64°
Closest atoms and distances in Å follow each position.
Positions (direct):
Mo: 0.0400 0.0400 0.8810  2 Mo 2.44, 2 Pt 2.68
Mo: 0.7435 0.7435 0.7742  2 Mo 2.44
Sr: 0.2413 0.2413 0.2739  3 Pt 3.16-3.18, 2 Sr 3.17, 5 Mo 3.43-3.52
Pt: 0.4752 0.4752 0.5709  4 Mo 2.68-2.74

Properties
space-group type: Cm, No. 8
calculated formation energy: 0.36 eV/atom



No. 3
Computed, not measured: an optimized crystal structure of Ac3Mn2Ge4 at the PBE level of DFT.

a = 4.4845 Å, b = 6.3599 Å, c = 8.8634 Å
α = 107.73°, β = 90.00°, γ = 110.64°
Closest atoms and distances in Å follow each position.
Positions (direct):
Mn: 0.6903 0.3806 0.3528  4 Ge 2.52-2.66
Mn: 0.3097 0.6194 0.6472  4 Ge 2.52-2.66
Ge: 0.2846 0.5692 0.9267  1 Mn 2.59, 2 Ge 2.84
Ge: 0.7154 0.4308 0.0733  1 Mn 2.59, 2 Ge 2.84
Ge: 0.1111 0.2222 0.3988  3 Mn 2.52-2.66
Ge: 0.8889 0.7778 0.6012  3 Mn 2.52-2.66
Ac: 0.0000 0.0000 0.0000  8 Ge 3.31-3.65
Ac: 0.6169 0.2338 0.6907  8 Ge 3.21-3.57, 4 Mn 3.32-3.55
Ac: 0.3831 0.7662 0.3093  8 Ge 3.21-3.57, 4 Mn 3.32-3.55

Properties
space-group type: C2/m, No. 12
calculated formation energy: -0.48 eV/atom



No. 4
Computed, not measured: an optimized crystal structure of Rb8Sb2Au at the PBE level of DFT.

a = 6.1674 Å, b = 8.7198 Å, c = 11.5432 Å
α = 111.01°, β = 105.49°, γ = 90.00°
Closest atoms and distances in Å follow each position.
Positions (direct):
Au: 0.5000 0.0000 0.0000  8 Rb 3.60-3.93
Rb: 0.7865 0.6960 0.5730  3 Sb 3.72-3.99, 2 Rb 3.92-4.01
Rb: 0.6682 0.9484 0.3364  3 Sb 3.85-3.90, 1 Au 3.93, 4 Rb 4.01-4.22
Rb: 0.9778 0.2259 0.9557  1 Sb 3.70, 2 Au 3.79, 2 Rb 4.07
Rb: 0.3995 0.5679 0.7989  1 Au 3.60, 2 Sb 3.74, 1 Rb 3.92
Rb: 0.2135 0.3040 0.4270  3 Sb 3.72-3.99, 2 Rb 3.92-4.01
Rb: 0.3318 0.0516 0.6636  3 Sb 3.85-3.90, 1 Au 3.93, 4 Rb 4.01-4.22
Rb: 0.0222 0.7741 0.0443  1 Sb 3.70, 2 Au 3.79, 2 Rb 4.07
Rb: 0.6005 0.4321 0.2011  1 Au 3.60, 2 Sb 3.74, 1 Rb 3.92
Sb: 0.8296 0.3231 0.6591  9 Rb 3.70-3.99
Sb: 0.1704 0.6769 0.3409  9 Rb 3.70-3.99

Properties
space-group type: C2/m, No. 12
formation energy without anion corrections: -0.289 eV/atom